A | # CuAg2Mo GGA-PBE relaxed
# DOS(E_F)	8.22	states/eV per cell
data_CuAg2Mo
_chemical_formula_sum 'Cu2 Ag4 Mo2'
_symmetry_space_group_name_H-M 'I -4 m 2'
_symmetry_Int_Tables_number 119
_symmetry_space_group_name_Hall 'I -4 -2'
_cell_length_a 4.4691
_cell_length_b 4.4691
_cell_length_c 6.3955
_cell_angle_alpha 90.00
_cell_angle_beta 90.00
_cell_angle_gamma 90.00
loop_
_atom_site_label
_atom_site_fract_x
_atom_site_fract_y
_atom_site_fract_z
_atom_site_occupancy
Cu1 0.0000 0.0000 0.0000 1
Ag1 0.0000 0.0000 0.5000 1
Ag2 0.0000 0.5000 0.2500 1
Mo1 0.0000 0.5000 0.7500 1

B | # CuAg2Mo GGA-PBE relaxed
# DOS(E_F)	3.39	states/eV per cell
data_CuAg2Mo
_chemical_formula_sum 'Cu1 Ag2 Mo1'
_symmetry_space_group_name_H-M 'P 4 m m'
_symmetry_Int_Tables_number 99
_cell_length_a 2.7492
_cell_length_b 2.7492
_cell_length_c 8.3651
_cell_angle_alpha 90.00
_cell_angle_beta 90.00
_cell_angle_gamma 90.00
loop_
_symmetry_equiv_pos_as_xyz
'x,y,z'
'-y,x,z'
'-x,-y,z'
'y,-x,z'
'-x,y,z'
'y,x,z'
'x,-y,z'
'-y,-x,z'
loop_
_atom_site_label
_atom_site_fract_x
_atom_site_fract_y
_atom_site_fract_z
_atom_site_occupancy
Cu1 0.0000 0.0000 0.0000 1
Ag1 0.0000 0.0000 0.4911 1
Ag2 0.5000 0.5000 0.7631 1
Mo1 0.5000 0.5000 0.2228 1

C | # CuAg2Mo GGA-PBE relaxed
# DOS(E_F)	1.42	states/eV per cell
data_CuAg2Mo
_chemical_formula_sum 'Cu1 Ag2 Mo1'
_symmetry_space_group_name_H-M 'P 1 m 1'
_symmetry_Int_Tables_number 6
_cell_length_a 2.6662
_cell_length_b 4.2109
_cell_length_c 5.8762
_cell_angle_alpha 90.00
_cell_angle_beta 102.87
_cell_angle_gamma 90.00
loop_
_symmetry_equiv_pos_as_xyz
'x,y,z'
'x,-y,z'
loop_
_atom_site_label
_atom_site_fract_x
_atom_site_fract_y
_atom_site_fract_z
_atom_site_occupancy
Cu1 0.0000 0.0000 0.0000 1
Ag1 0.2189 0.0000 0.4638 1
Ag2 0.8419 0.5000 0.7158 1
Mo1 0.5842 0.5000 0.1834 1

D | # CuAg2Mo GGA-PBE relaxed
# DOS(E_F)	12.70	states/eV per cell
data_CuAg2Mo
_chemical_formula_sum 'Cu3 Ag6 Mo3'
_symmetry_space_group_name_H-M 'R -3 m'
_symmetry_Int_Tables_number 166
_symmetry_space_group_name_Hall '-R 3 2"'
_cell_length_a 2.8154
_cell_length_b 2.8154
_cell_length_c 27.8695
_cell_angle_alpha 90.00
_cell_angle_beta 90.00
_cell_angle_gamma 120.00
loop_
_atom_site_label
_atom_site_fract_x
_atom_site_fract_y
_atom_site_fract_z
_atom_site_occupancy
Cu1 0.0000 0.0000 0.0000 1
Ag1 0.0000 0.0000 0.2541 1
Mo1 0.0000 0.0000 0.5000 1

Most favorable first, least favorable last: B, D, C, A